1.
Density functional theory data (GGA-PBE) for a geometry-optimized TlIn2IrCl structure.

E_form (uncorrected) ... -0.39 eV per atom

Cell lengths 5.208, 5.208, 5.316 Å; angles 90.00, 90.00, 90.00 degrees
Atoms (fractional coordinates):
Tl (0.000, 0.000, 0.000)
In (0.000, 0.500, 0.500)
In (0.500, 0.000, 0.500)
Ir (0.000, 0.000, 0.500)
Cl (0.500, 0.500, 0.000)

2.
Density functional theory data (GGA-PBE) for a geometry-optimized TlInIrCl2 structure.

E_form (uncorrected) ... -0.05 eV per atom

Cell lengths 5.022, 5.022, 5.221 Å; angles 90.00, 90.00, 90.00 degrees
Atoms (fractional coordinates):
Tl (0.000, 0.000, 0.000)
In (0.500, 0.500, 0.000)
Ir (0.500, 0.500, 0.500)
Cl (0.000, 0.500, 0.500)
Cl (0.500, 0.000, 0.500)

3.
Density functional theory data (GGA-PBE) for a geometry-optimized KIn2Cl structure.

E_form (uncorrected) ... -0.70 eV per atom

Cell lengths 3.953, 3.959, 8.968 Å; angles 90.00, 102.70, 90.00 degrees
Atoms (fractional coordinates):
K (0.000, 0.000, 0.000)
In (0.314, 0.000, 0.622)
In (0.731, 0.500, 0.455)
Cl (0.567, 0.500, 0.134)

Number 1: ρ 7.6 g cm⁻³. Number 2: ρ 7.3 g cm⁻³. Number 3: ρ 3.7 g cm⁻³.